No. 1
Crystalline K2YPtO6 at its relaxed geometry. Source: OQMD via LeMat-Bulk, functional GGA-PBE.

extended XYZ file:
```
10
Lattice="4.820 3.238 0.626 -0.115 4.794 3.333 2.826 0.072 5.110" Properties=species:S:1:pos:R:3 pbc="T T T"
K 5.648 6.078 6.801
O 4.327 3.618 2.452
O 1.698 4.447 3.894
O 3.204 4.486 6.617
O 5.833 3.657 5.174
O 4.266 6.173 4.227
K 1.883 2.026 2.267
Y 3.765 4.052 4.534
Pt 0.000 0.000 0.000
O 3.265 1.932 4.841
```

Summary:
M_tot in μB per formula unit: 0.53
Theoretical density in g/cm3: 5.40
Calculated total energy in eV per atom: -5.898

---

No. 2
Crystalline KRb4ReO6 at its relaxed geometry. Source: OQMD via LeMat-Bulk, functional GGA-PBE.

extended XYZ file:
```
12
Lattice="-0.447 2.315 -6.134 -4.729 1.295 4.375 4.747 3.584 2.282" Properties=species:S:1:pos:R:3 pbc="T T T"
Rb -0.929 3.427 2.014
O 2.823 3.280 0.001
O 0.596 1.766 0.414
K -2.588 1.805 -0.879
O 1.806 3.038 2.498
O -1.025 5.428 0.109
O -2.235 4.157 -1.975
Rb 0.499 3.767 -1.491
Rb -1.171 2.143 -4.358
O -3.252 3.915 0.522
Rb -4.005 1.468 2.599
Re 2.373 1.792 1.141
```

Summary:
M_tot in μB per formula unit: 0.00
Theoretical density in g/cm3: 5.00
Calculated total energy in eV per atom: -5.511

---

No. 3
Crystalline K3Rb2ReO6 at its relaxed geometry. Source: OQMD via LeMat-Bulk, functional GGA-PBE.

extended XYZ file:
```
12
Lattice="3.263 -5.620 0.000 3.263 5.620 0.000 -2.256 0.000 5.717" Properties=species:S:1:pos:R:3 pbc="T T T"
O -0.679 0.000 4.635
O 3.504 1.358 4.583
O 0.767 -1.358 1.133
O 3.504 -1.358 4.583
K 2.135 0.000 2.858
O 4.950 0.000 1.082
K 2.135 -3.796 2.858
Re 0.000 0.000 0.000
Rb 3.263 1.878 0.000
O 0.767 1.358 1.133
K 2.135 3.796 2.858
Rb 3.263 -1.878 0.000
```

Summary:
M_tot in μB per formula unit: 0.00
Theoretical density in g/cm3: 4.52
Calculated total energy in eV per atom: -5.553

---

Which of these has the lowest calculated total energy? K2YPtO6

---

Look up the calculated total energy of the second one. -5.511 eV per atom

---

What is the theoretical density in the first record? 5.40 g/cm3

---

Which of these has the lowest theoretical density? K3Rb2ReO6